No. 1
VASP calculation (meta-GGA SCAN) on a PBEsol-optimized structure of TlGaGe2Ru.

Summary:
* energy of formation from the pure elements: 1.53 eV/atom

Lattice parameters (Å, degrees): 5.1257 5.1257 5.0961 90.00 90.00 90.00
Space group P4/mmm (No. 123)
Asymmetric unit:
Tl (0.0000, 0.0000, 0.0000)
Ga (0.5000, 0.5000, 0.5000)
Ge (0.0000, 0.5000, 0.0000)
Ru (0.0000, 0.0000, 0.5000)



No. 2
VASP calculation (meta-GGA SCAN) on a PBEsol-optimized structure of Y6Ta4Al43.

Summary:
* energy of formation from the pure elements: -0.33 eV/atom

Lattice parameters (Å, degrees): 11.0225 11.0225 17.7451 90.00 90.00 120.00
Space group P6_3/mcm (No. 193)
Asymmetric unit:
Y (0.0000, 0.4696, 0.0963)
Ta (0.0000, 0.0000, 0.0000)
Ta (0.0000, 0.2731, 0.2500)
Al (0.0000, 0.1489, 0.7500)
Al (0.0000, 0.1592, 0.1152)
Al (0.0000, 0.2557, 0.5295)
Al (0.1502, 0.5552, 0.2500)
Al (0.1585, 0.3953, 0.6626)
Al (0.2473, 0.4946, 0.0000)
Al (0.3333, 0.6667, 0.1250)



No. 3
VASP calculation (meta-GGA SCAN) on a PBEsol-optimized structure of Ag2TeAs.

Summary:
* ΔE_f (raw): 0.141 eV per atom
* polymorph energy (0 for the lowest one): 0 meV per atom

Lattice parameters (Å, degrees): 2.9776 3.6435 7.6227 90.00 90.00 90.00
Space group Pmmm (No. 47)
Asymmetric unit:
Ag (0.0000, 0.0000, 0.2051)
Te (0.0000, 0.5000, 0.5000)
As (0.5000, 0.5000, 0.0000)



No. 4
VASP calculation (meta-GGA SCAN) on a PBEsol-optimized structure of Sr2TeCl.

Summary:
* ΔE_f (raw): -1.845 eV per atom
* polymorph energy (0 for the lowest one): 0 meV per atom

Lattice parameters (Å, degrees): 4.5325 4.5325 21.2056 90.00 90.00 120.00
Space group R-3m (No. 166, hexagonal axes)
Asymmetric unit:
Sr (0.0000, 0.0000, 0.2456)
Te (0.0000, 0.0000, 0.0000)
Cl (0.0000, 0.0000, 0.5000)



| no. | N(E_F) (states/eV/atom) | VASP energy (eV for the cell shown) | spin magnetization (μB/atom) |
| --- | --- | --- | --- |
| 1 | 0.727 | -154.0 | 0.35 |
| 2 | 0.324 | -1568.8 | 0.00 |
| 3 | 0.342 | -119.6 | 0.00 |
| 4 | 0.451 | -291.5 | 0.10 |